! GGA-PBE VGe3Ru, optimized geometry; values from VASP
&SYSTEM
  ibrav = 0, nat = 5, ntyp = 3
/
ATOMIC_SPECIES
Ge 72.64 Ge.upf
Ru 101.07 Ru.upf
V 50.94 V.upf
CELL_PARAMETERS angstrom
-3.0292 1.1463 -3.4746
-3.6293 -1.5130 2.6650
-0.4636 4.3543 1.8407
ATOMIC_POSITIONS crystal
Ge 0.0000 0.5000 0.0000
Ge 0.5000 0.0000 0.0000
Ru 0.0000 0.0000 0.0000
Ge 0.0000 0.0000 0.5000
V 0.5000 0.5000 0.5000
! Space group: No. 221
! Energy relative to the lowest polymorph listed for this composition (meV/atom): 0
! Energy of formation (meV per atom): 707
! Calculated density (Mg/m³): 5.7
! Magnetic moment (μB/f.u.): 3.8

=====

! GGA-PBE HfTcBr2, optimized geometry; values from VASP
&SYSTEM
  ibrav = 0, nat = 4, ntyp = 3
/
ATOMIC_SPECIES
Hf 178.49 Hf.upf
Tc 98.00 Tc.upf
Br 79.90 Br.upf
CELL_PARAMETERS angstrom
1.8637 0.0000 9.0300
-0.9319 1.6140 9.0300
-0.9319 -1.6140 9.0300
ATOMIC_POSITIONS crystal
Hf 0.5000 0.5000 0.5000
Tc 0.0000 0.0000 0.0000
Br 0.9076 0.9076 0.9076
Br 0.0924 0.0924 0.0924
! Space group: No. 166
! Energy relative to the lowest polymorph listed for this composition (meV/atom): 0
! Calculated density (Mg/m³): 8.9
! Raw formation energy (meV/atom): 203
! Magnetic moment (μB/f.u.): 1.4

=====

! GGA-PBE PrDySc2Bi4, optimized geometry; values from VASP
&SYSTEM
  ibrav = 0, nat = 8, ntyp = 4
/
ATOMIC_SPECIES
Bi 208.98 Bi.upf
Dy 162.50 Dy.upf
Sc 44.96 Sc.upf
Pr 140.91 Pr.upf
CELL_PARAMETERS angstrom
4.4232 0.0000 0.0000
0.0000 7.6570 0.1291
0.0000 -2.6750 7.1512
ATOMIC_POSITIONS crystal
Bi 0.0000 0.7510 0.2682
Dy 0.5000 0.5000 0.0000
Sc 0.5000 0.0000 0.5000
Sc 0.0000 0.5000 0.5000
Pr 0.0000 0.0000 0.0000
Bi 0.5000 0.7377 0.7282
Bi 0.0000 0.2490 0.7318
Bi 0.5000 0.2623 0.2718
! Space group: No. 10
! Energy of formation (meV per atom): -771
! Calculated density (Mg/m³): 8.4
! Magnetic moment (μB/f.u.): 0.0

=====

! GGA-PBE TiTc3H4, optimized geometry; values from VASP
&SYSTEM
  ibrav = 0, nat = 8, ntyp = 3
/
ATOMIC_SPECIES
H 1.01 H.upf
Tc 98.00 Tc.upf
Ti 47.87 Ti.upf
CELL_PARAMETERS angstrom
-3.5649 -1.0928 -1.5782
0.1695 -3.4950 2.0372
-1.9121 1.7276 3.1229
ATOMIC_POSITIONS crystal
H 0.5000 0.0000 0.0000
Tc 0.5000 0.0000 0.5000
Tc 0.5000 0.5000 0.0000
H 0.5000 0.5000 0.5000
Ti 0.0000 0.0000 0.0000
H 0.0000 0.0000 0.5000
Tc 0.0000 0.5000 0.5000
H 0.0000 0.5000 0.0000
! Space group: No. 221
! VASP energy (eV/atom): -6.720
! Calculated density (Mg/m³): 8.7
! Magnetic moment (μB/f.u.): 0.0

=====

! GGA-PBE CaYAlGa, optimized geometry; values from VASP
&SYSTEM
  ibrav = 0, nat = 4, ntyp = 4
/
ATOMIC_SPECIES
Ca 40.08 Ca.upf
Al 26.98 Al.upf
Y 88.91 Y.upf
Ga 69.72 Ga.upf
CELL_PARAMETERS angstrom
-1.1161 -0.9892 4.9299
-4.2514 -2.6499 1.1963
0.3855 -4.8052 1.8136
ATOMIC_POSITIONS crystal
Ca 0.2500 0.2500 0.2500
Al 0.0000 0.0000 0.0000
Y 0.7500 0.7500 0.7500
Ga 0.5000 0.5000 0.5000
! Space group: No. 216
! Energy of formation (meV per atom): -380
! Calculated density (Mg/m³): 3.9
! Magnetic moment (μB/f.u.): 0.0

=====

! GGA-PBE Tm6Ge2Sb3Te, optimized geometry; values from VASP
&SYSTEM
  ibrav = 0, nat = 12, ntyp = 4
/
ATOMIC_SPECIES
Tm 168.93 Tm.upf
Ge 72.64 Ge.upf
Sb 121.76 Sb.upf
Te 127.60 Te.upf
CELL_PARAMETERS angstrom
-3.3173 1.5932 -2.0984
-4.9842 -1.4362 6.7888
4.8759 7.8148 2.5013
ATOMIC_POSITIONS crystal
Tm 0.6711 0.1012 0.3422
Tm 0.3289 0.8988 0.6578
Tm 0.0092 0.2607 0.0184
Ge 0.8326 0.6665 0.6651
Ge 0.1674 0.3335 0.3349
Sb 0.5000 0.5000 0.0000
Te 0.5000 0.0000 0.0000
Sb 0.1612 0.8334 0.3225
Tm 0.9908 0.7393 0.9816
Sb 0.8388 0.1666 0.6775
Tm 0.3284 0.4261 0.6568
Tm 0.6716 0.5739 0.3432
! Space group: No. 12
! Calculated density (Mg/m³): 8.4
! Raw formation energy (meV/atom): -1002
! Magnetic moment (μB/f.u.): 0.0

=====

! GGA-PBE AcLa3Pr4Se8, optimized geometry; values from VASP
&SYSTEM
  ibrav = 0, nat = 16, ntyp = 4
/
ATOMIC_SPECIES
Se 78.96 Se.upf
Pr 140.91 Pr.upf
La 138.91 La.upf
Ac 227.00 Ac.upf
CELL_PARAMETERS angstrom
8.6325 0.0000 0.0000
0.0000 8.6086 -0.0218
-4.3163 -4.3112 6.1066
ATOMIC_POSITIONS crystal
Se 0.7473 0.7548 0.0011
Pr 0.5000 0.0000 0.5000
Se 0.7505 0.7514 0.5009
La 0.0000 0.5000 0.5000
Se 0.2495 0.2486 0.4991
Se 0.2538 0.7548 0.0011
Se 0.2538 0.7549 0.5076
Pr 0.5000 0.0000 0.0000
La 0.5000 0.5000 0.5000
Se 0.7462 0.2452 0.9989
Pr 0.0000 0.0000 0.5000
Se 0.2527 0.2452 0.9989
Se 0.7462 0.2451 0.4924
Pr 0.0000 0.0000 0.0000
La 0.5000 0.5000 0.0000
Ac 0.0000 0.5000 0.0000
! Space group: No. 166
! Calculated density (Mg/m³): 6.7
! Raw formation energy (meV/atom): -1905
! Magnetic moment (μB/f.u.): 0.0

=====

! GGA-PBE Ti2As2H, optimized geometry; values from VASP
&SYSTEM
  ibrav = 0, nat = 10, ntyp = 3
/
ATOMIC_SPECIES
H 1.01 H.upf
As 74.92 As.upf
Ti 47.87 Ti.upf
CELL_PARAMETERS angstrom
6.4990 0.0000 0.0000
0.0000 6.4990 0.0000
0.0000 0.0000 3.5510
ATOMIC_POSITIONS crystal
H 0.5000 0.5000 0.0000
As 0.6470 0.8530 0.5000
Ti 0.8425 0.6575 0.0000
As 0.1470 0.6470 0.5000
As 0.3530 0.1470 0.5000
H 0.0000 0.0000 0.0000
Ti 0.3425 0.8425 0.0000
Ti 0.6575 0.1575 0.0000
Ti 0.1575 0.3425 0.0000
As 0.8530 0.3530 0.5000
! Space group: No. 127
! Energy relative to the lowest polymorph listed for this composition (meV/atom): 149
! Calculated density (Mg/m³): 5.5
! Magnetic moment (μB/f.u.): 0.4